Record 1
The following is a GGA-PBE calculation of a geometry-optimized Ce3HgH structure, from the Alexandria database.

* N(E_F): 24.45 states/eV per cell
* calculated total energy: -4.511 eV/atom

Cell: 5.786 5.819 6.586 Å, 89.95 89.97 89.88°
Space group P1 (No. 1)
Inequivalent atoms, fractional coordinates:
Ce: 0.000 0.000 0.000 [1 per cell]
Ce: 0.001 0.000 0.498 [1 per cell]
Ce: 0.488 0.304 0.747 [1 per cell]
Ce: 0.500 0.707 0.997 [1 per cell]
Ce: 0.501 0.707 0.499 [1 per cell]
Ce: 0.988 0.403 0.250 [1 per cell]
Hg: 0.493 0.185 0.248 [1 per cell]
Hg: 0.993 0.522 0.749 [1 per cell]
H: 0.193 0.754 0.249 [1 per cell]
H: 0.693 0.952 0.749 [1 per cell]

---

Record 2
The following is a GGA-PBE calculation of a geometry-optimized CeHgH structure, from the Alexandria database.

* N(E_F): 9.51 states/eV per cell
* calculated total energy: -3.330 eV/atom

Cell: 3.4407 3.4407 12.4875 Å, 90.00 90.00 120.00°
Space group P-3m1 (No. 164)
Inequivalent atoms, fractional coordinates:
Ce: 0.3333 0.6667 0.3651 [2 per cell]
Hg: 0.3333 0.6667 0.1059 [2 per cell]
H: 0.3333 0.6667 0.5485 [2 per cell]

---

Record 3
The following is a GGA-PBE calculation of a geometry-optimized CeHgH8Ir2 structure, from the Alexandria database.

* N(E_F): 18.03 states/eV per cell
* calculated total energy: -4.218 eV/atom

Cell: 4.8701 4.8701 17.7943 Å, 90.00 90.00 120.00°
Space group R-3m (No. 166, hexagonal axes)
Inequivalent atoms, fractional coordinates:
Ce: 0.0000 0.0000 0.0000 [3 per cell]
Hg: 0.0000 0.0000 0.5000 [3 per cell]
H: 0.0000 0.0000 0.3182 [6 per cell]
H: 0.0564 0.5282 0.5568 [18 per cell]
Ir: 0.0000 0.0000 0.2273 [6 per cell]